Record 1
Material: K4HgH12
Method: DFT, PBE
State: optimized geometry

```
17
Lattice="-4.3621 4.3621 4.3621 4.3621 -4.3621 4.3621 4.3621 4.3621 -4.3621" Properties=species:S:1:pos:R:3 pbc="T T T"
K 2.1810 2.1810 -2.1810
K 2.1810 -2.1810 2.1810
K -2.1810 2.1810 2.1810
K 2.1810 2.1810 2.1810
Hg 0.0000 0.0000 0.0000
H 3.9708 1.1805 0.0000
H 4.7533 1.1805 0.0000
H 4.3621 -0.3912 3.1816
H 4.3621 0.3912 3.1816
H 3.1816 4.3621 -0.3912
H 1.1805 0.0000 3.9708
H 3.1816 4.3621 0.3912
H 1.1805 0.0000 4.7533
H 0.0000 3.9708 1.1805
H 0.0000 4.7533 1.1805
H -0.3912 3.1816 4.3621
H 0.3912 3.1816 4.3621
```

* density of states at the Fermi level: 0.1899 states/eV/atom
* DFT total energy: -2.618 eV/atom
* total magnetization: 0.00 Bohr magnetons per cell

***

Record 2
Material: AcGeOsF
Method: DFT, PBE
State: optimized geometry

```
8
Lattice="4.3499 0.0000 0.0000 0.0000 4.3499 0.0000 0.0000 0.0000 8.3276" Properties=species:S:1:pos:R:3 pbc="T T T"
Ac 1.0875 1.0875 1.5851
Ac 3.2624 3.2624 6.7425
Ge 1.0875 1.0875 5.3993
Ge 3.2624 3.2624 2.9282
Os 1.0875 3.2624 4.1638
Os 3.2624 1.0875 4.1638
F 1.0875 3.2624 0.0000
F 3.2624 1.0875 0.0000
```

* density of states at the Fermi level: 0.2074 states/eV/atom
* DFT total energy: -7.097 eV/atom
* total magnetization: 0.00 Bohr magnetons per cell

***

Record 3
Material: Sn2Ge2Au
Method: DFT, PBE
State: optimized geometry

```
5
Lattice="-2.5322 2.5322 4.7895 2.5322 -2.5322 4.7895 2.5322 2.5322 -4.7895" Properties=species:S:1:pos:R:3 pbc="T T T"
Sn 2.5322 0.0000 2.3948
Sn 0.0000 2.5322 2.3948
Ge 0.0000 0.0000 1.2210
Ge 0.0000 0.0000 8.3581
Au 0.0000 0.0000 4.7895
```

* density of states at the Fermi level: 0.2434 states/eV/atom
* DFT total energy: -3.837 eV/atom
* energy relative to the elements: 0.2664 eV/atom
* total magnetization: 0.00 Bohr magnetons per cell
* excess energy over the best structure of this formula in the dataset: 155 meV/atom